[1]
Compound: MgNi2Ru
Source: the Alexandria database
Functional: PBE
Structure: optimized geometry

a b c (Å): 2.7014 2.7014 7.2385
angles (deg): 90.00 90.00 90.00
Fractional coordinates of all 4 atoms:
Mg 0.0000 0.0000 0.0000
Ni 0.0000 0.0000 0.4768
Ni 0.5000 0.5000 0.2599
Ru 0.5000 0.5000 0.7074

Computed properties:
- E_form: 0.08 eV per atom
- Calculated volume: 13.206 A^3/atom
- Symmetry: No. 99

=====

[2]
Compound: Mg2NiRu
Source: the Alexandria database
Functional: PBE
Structure: optimized geometry

a b c (Å): 5.5881 5.5881 5.5881
angles (deg): 103.08 103.08 123.18
Fractional coordinates of all 8 atoms:
Mg 0.1045 0.6250 0.9795
Mg 0.3750 0.3545 0.4795
Mg 0.6455 0.1250 0.0205
Mg 0.8750 0.8955 0.5205
Ni 0.0000 0.0000 0.0000
Ni 0.7500 0.2500 0.5000
Ru 0.2500 0.7500 0.5000
Ru 0.5000 0.5000 0.0000

Computed properties:
- E_form: 0.41 eV per atom
- Calculated volume: 16.057 A^3/atom
- Symmetry: No. 122

=====

[3]
Compound: MgNi2Ru
Source: the Alexandria database
Functional: PBE
Structure: optimized geometry

a b c (Å): 4.6280 4.6280 4.6280
angles (deg): 132.79 132.79 68.98
Fractional coordinates of all 4 atoms:
Mg 0.0000 0.0000 0.0000
Ni 0.2500 0.7500 0.5000
Ni 0.5000 0.5000 0.0000
Ru 0.7500 0.2500 0.5000

Computed properties:
- E_form: 0.09 eV per atom
- Calculated volume: 13.099 A^3/atom
- Symmetry: No. 119

=====

[4]
Compound: Mg3NiRu
Source: the Alexandria database
Functional: PBE
Structure: optimized geometry

a b c (Å): 4.8355 4.8355 4.8355
angles (deg): 90.00 90.00 90.00
Fractional coordinates of all 5 atoms:
Mg 0.0000 0.0000 0.5000
Mg 0.0000 0.5000 0.0000
Mg 0.5000 0.0000 0.0000
Ni 0.5000 0.5000 0.5000
Ru 0.0000 0.0000 0.0000

Computed properties:
- Energy above the most stable polymorph in this dataset: 187 meV per atom
- E_form: 0.80 eV per atom
- Calculated volume: 22.612 A^3/atom
- Symmetry: No. 221

=====

[5]
Compound: Mg3NiRu
Source: the Alexandria database
Functional: PBE
Structure: optimized geometry

a b c (Å): 4.5873 4.5873 4.5873
angles (deg): 90.00 90.00 90.00
Fractional coordinates of all 5 atoms:
Mg 0.0000 0.0000 0.5000
Mg 0.0000 0.5000 0.0000
Mg 0.5000 0.0000 0.0000
Ni 0.0000 0.0000 0.0000
Ru 0.5000 0.5000 0.5000

Computed properties:
- Energy above the most stable polymorph in this dataset: 0 meV per atom
- E_form: 0.61 eV per atom
- Calculated volume: 19.307 A^3/atom
- Symmetry: No. 221

=====

[6]
Compound: MgNi2Ru
Source: the Alexandria database
Functional: PBE
Structure: optimized geometry

a b c (Å): 2.9727 2.9727 6.0112
angles (deg): 90.00 90.00 90.00
Fractional coordinates of all 4 atoms:
Mg 0.0000 0.0000 0.0000
Ni 0.0000 0.0000 0.4785
Ni 0.5000 0.5000 0.2624
Ru 0.5000 0.5000 0.6973

Computed properties:
- E_form: 0.09 eV per atom
- Calculated volume: 13.280 A^3/atom
- Symmetry: No. 99

=====

[7]
Compound: Mg2NiRu
Source: the Alexandria database
Functional: PBE
Structure: optimized geometry

a b c (Å): 4.3901 4.3901 4.3901
angles (deg): 60.00 60.00 60.00
Fractional coordinates of all 4 atoms:
Mg 0.0000 0.0000 0.0000
Mg 0.2500 0.2500 0.2500
Ni 0.7500 0.7500 0.7500
Ru 0.5000 0.5000 0.5000

Computed properties:
- E_form: 0.10 eV per atom
- Calculated volume: 14.958 A^3/atom
- Symmetry: No. 216

=====

[8]
Compound: MgNi3Ru
Source: the Alexandria database
Functional: PBE
Structure: optimized geometry

a b c (Å): 4.4866 4.4866 4.4866
angles (deg): 90.00 90.00 90.00
Fractional coordinates of all 5 atoms:
Mg 0.0000 0.0000 0.0000
Ni 0.0000 0.5000 0.5000
Ni 0.5000 0.0000 0.5000
Ni 0.5000 0.5000 0.0000
Ru 0.5000 0.5000 0.5000

Computed properties:
- Energy above the most stable polymorph in this dataset: 0 meV per atom
- E_form: 0.98 eV per atom
- Calculated volume: 18.062 A^3/atom
- Symmetry: No. 221

=====

[9]
Compound: Mg2NiRu
Source: the Alexandria database
Functional: PBE
Structure: optimized geometry

a b c (Å): 4.1026 4.1026 3.5238
angles (deg): 90.00 90.00 90.00
Fractional coordinates of all 4 atoms:
Mg 0.0000 0.5000 0.0000
Mg 0.5000 0.0000 0.0000
Ni 0.0000 0.0000 0.5000
Ru 0.5000 0.5000 0.5000

Computed properties:
- E_form: 0.02 eV per atom
- Calculated volume: 14.827 A^3/atom
- Symmetry: No. 123

=====

[10]
Compound: MgNiSb2Ru
Source: the Alexandria database
Functional: PBE
Structure: optimized geometry

a b c (Å): 5.0466 5.0466 4.7577
angles (deg): 90.00 90.00 90.00
Fractional coordinates of all 5 atoms:
Mg 0.0000 0.0000 0.0000
Ni 0.5000 0.5000 0.0000
Sb 0.0000 0.5000 0.5000
Sb 0.5000 0.0000 0.5000
Ru 0.5000 0.5000 0.5000

Computed properties:
- Calculated volume: 24.234 A^3/atom
- Formation energy (no corrections): 2.497 eV/f.u.
- Symmetry: No. 123

=====

[11]
Compound: Mg2NiSb2Ru
Source: the Alexandria database
Functional: PBE
Structure: optimized geometry

a b c (Å): 7.5935 7.5935 7.5935
angles (deg): 133.42 69.03 132.10
Fractional coordinates of all 12 atoms:
Mg 0.1398 0.2490 0.3887
Mg 0.3602 0.7490 0.1092
Mg 0.6398 0.2510 0.8908
Mg 0.8602 0.7510 0.6113
Ni 0.2500 0.2500 0.0000
Ni 0.7500 0.7500 0.0000
Sb 0.1269 0.7548 0.8817
Sb 0.3731 0.2548 0.6279
Sb 0.6269 0.7452 0.3721
Sb 0.8731 0.2452 0.1183
Ru 0.2500 0.7500 0.5000
Ru 0.7500 0.2500 0.5000

Computed properties:
- Calculated volume: 19.299 A^3/atom
- Formation energy (no corrections): -1.943 eV/f.u.
- Symmetry: No. 72

=====

[12]
Compound: MgNiSbRu
Source: the Alexandria database
Functional: PBE
Structure: optimized geometry

a b c (Å): 4.4296 4.4296 4.4296
angles (deg): 60.00 60.00 60.00
Fractional coordinates of all 4 atoms:
Mg 0.0000 0.0000 0.0000
Ni 0.2500 0.2500 0.2500
Sb 0.5000 0.5000 0.5000
Ru 0.7500 0.7500 0.7500

Computed properties:
- Calculated volume: 15.364 A^3/atom
- Formation energy (no corrections): -0.589 eV/f.u.
- Symmetry: No. 216

=====

[13]
Compound: MgScNiRu
Source: the Alexandria database
Functional: PBE
Structure: optimized geometry

a b c (Å): 4.4373 4.4373 4.4373
angles (deg): 60.00 60.00 60.00
Fractional coordinates of all 4 atoms:
Mg 0.0000 0.0000 0.0000
Sc 0.5000 0.5000 0.5000
Ni 0.2500 0.2500 0.2500
Ru 0.7500 0.7500 0.7500

Computed properties:
- E_form: -0.30 eV per atom
- Calculated volume: 15.445 A^3/atom
- Symmetry: No. 216

=====

[14]
Compound: Mg2Sc5NiRu2
Source: the Alexandria database
Functional: PBE
Structure: optimized geometry

a b c (Å): 11.0994 11.0994 3.2508
angles (deg): 90.00 90.00 90.00
Fractional coordinates of all 20 atoms:
Mg 0.1799 0.3201 0.0000
Mg 0.3201 0.8201 0.0000
Mg 0.6799 0.1799 0.0000
Mg 0.8201 0.6799 0.0000
Sc 0.0000 0.5000 0.5000
Sc 0.0621 0.8060 0.5000
Sc 0.1940 0.0621 0.5000
Sc 0.3060 0.5621 0.5000
Sc 0.4379 0.3060 0.5000
Sc 0.5000 0.0000 0.5000
Sc 0.5621 0.6940 0.5000
Sc 0.6940 0.4379 0.5000
Sc 0.8060 0.9379 0.5000
Sc 0.9379 0.1940 0.5000
Ni 0.0000 0.0000 0.0000
Ni 0.5000 0.5000 0.0000
Ru 0.1354 0.6354 0.0000
Ru 0.3646 0.1354 0.0000
Ru 0.6354 0.8646 0.0000
Ru 0.8646 0.3646 0.0000

Computed properties:
- E_form: -0.30 eV per atom
- Calculated volume: 20.024 A^3/atom
- Symmetry: No. 127

=====

[15]
Compound: MgSiNiRu2
Source: the Alexandria database
Functional: PBE
Structure: optimized geometry

a b c (Å): 4.4784 4.4784 4.1255
angles (deg): 90.00 90.00 90.00
Fractional coordinates of all 5 atoms:
Mg 0.0000 0.0000 0.0000
Si 0.5000 0.5000 0.5000
Ni 0.0000 0.0000 0.5000
Ru 0.0000 0.5000 0.0000
Ru 0.5000 0.0000 0.0000

Computed properties:
- Calculated volume: 16.548 A^3/atom
- Formation energy (no corrections): 7.570 eV/f.u.
- Symmetry: No. 123

=====

[16]
Compound: MgSiNiRu
Source: the Alexandria database
Functional: PBE
Structure: optimized geometry

a b c (Å): 4.1689 4.1689 4.1689
angles (deg): 60.00 60.00 60.00
Fractional coordinates of all 4 atoms:
Mg 0.0000 0.0000 0.0000
Si 0.5000 0.5000 0.5000
Ni 0.7500 0.7500 0.7500
Ru 0.2500 0.2500 0.2500

Computed properties:
- Calculated volume: 12.808 A^3/atom
- Formation energy (no corrections): -1.579 eV/f.u.
- Symmetry: No. 216

=====

[17]
Compound: MgTc2NiRu
Source: the Alexandria database
Functional: PBE
Structure: optimized geometry

a b c (Å): 4.4372 4.4372 4.3715
angles (deg): 90.00 90.00 90.00
Fractional coordinates of all 5 atoms:
Mg 0.0000 0.0000 0.0000
Tc 0.0000 0.5000 0.0000
Tc 0.5000 0.0000 0.0000
Ni 0.5000 0.5000 0.5000
Ru 0.0000 0.0000 0.5000

Computed properties:
- E_form: 2.15 eV per atom
- Calculated volume: 17.214 A^3/atom
- Symmetry: No. 123

=====

[18]
Compound: ThMgNiRu
Source: the Alexandria database
Functional: PBE
Structure: optimized geometry

a b c (Å): 4.7253 4.7253 4.7253
angles (deg): 60.00 60.00 60.00
Fractional coordinates of all 4 atoms:
Th 0.0000 0.0000 0.0000
Mg 0.5000 0.5000 0.5000
Ni 0.2500 0.2500 0.2500
Ru 0.7500 0.7500 0.7500

Computed properties:
- E_form: -0.25 eV per atom
- Calculated volume: 18.651 A^3/atom
- Symmetry: No. 216

=====

[19]
Compound: MgVNiRu
Source: the Alexandria database
Functional: PBE
Structure: optimized geometry

a b c (Å): 4.2490 4.2490 4.2490
angles (deg): 60.00 60.00 60.00
Fractional coordinates of all 4 atoms:
Mg 0.0000 0.0000 0.0000
V 0.5000 0.5000 0.5000
Ni 0.2500 0.2500 0.2500
Ru 0.7500 0.7500 0.7500

Computed properties:
- E_form: -0.13 eV per atom
- Calculated volume: 13.561 A^3/atom
- Symmetry: No. 216

=====

[20]
Compound: YMgNiRu
Source: the Alexandria database
Functional: PBE
Structure: optimized geometry

a b c (Å): 4.6078 4.6078 4.6078
angles (deg): 60.00 60.00 60.00
Fractional coordinates of all 4 atoms:
Y 0.0000 0.0000 0.0000
Mg 0.5000 0.5000 0.5000
Ni 0.2500 0.2500 0.2500
Ru 0.7500 0.7500 0.7500

Computed properties:
- E_form: -0.16 eV per atom
- Calculated volume: 17.295 A^3/atom
- Symmetry: No. 216

=====

[21]
Compound: MgZnNiRu
Source: the Alexandria database
Functional: PBE
Structure: optimized geometry

a b c (Å): 4.2703 4.2703 4.2703
angles (deg): 60.00 60.00 60.00
Fractional coordinates of all 4 atoms:
Mg 0.0000 0.0000 0.0000
Zn 0.5000 0.5000 0.5000
Ni 0.7500 0.7500 0.7500
Ru 0.2500 0.2500 0.2500

Computed properties:
- E_form: -0.01 eV per atom
- Calculated volume: 13.766 A^3/atom
- Symmetry: No. 216

=====

[22]
Compound: MgZnNiRu2
Source: the Alexandria database
Functional: PBE
Structure: optimized geometry

a b c (Å): 4.5248 4.5248 4.4014
angles (deg): 90.00 90.00 90.00
Fractional coordinates of all 5 atoms:
Mg 0.0000 0.0000 0.0000
Zn 0.5000 0.5000 0.0000
Ni 0.5000 0.5000 0.5000
Ru 0.0000 0.5000 0.5000
Ru 0.5000 0.0000 0.5000

Computed properties:
- E_form: 0.83 eV per atom
- Calculated volume: 18.022 A^3/atom
- Symmetry: No. 123

=====

[23]
Compound: Mg2Zn5Ni2Ru
Source: the Alexandria database
Functional: PBE
Structure: optimized geometry

a b c (Å): 8.6713 8.6713 3.8797
angles (deg): 90.00 90.00 90.00
Fractional coordinates of all 20 atoms:
Mg 0.1765 0.3235 0.0000
Mg 0.3235 0.8235 0.0000
Mg 0.6765 0.1765 0.0000
Mg 0.8235 0.6765 0.0000
Zn 0.0000 0.5000 0.5000
Zn 0.0698 0.7977 0.5000
Zn 0.2023 0.0698 0.5000
Zn 0.2977 0.5698 0.5000
Zn 0.4302 0.2977 0.5000
Zn 0.5000 0.0000 0.5000
Zn 0.5698 0.7023 0.5000
Zn 0.7023 0.4302 0.5000
Zn 0.7977 0.9302 0.5000
Zn 0.9302 0.2023 0.5000
Ni 0.1186 0.6186 0.0000
Ni 0.3814 0.1186 0.0000
Ni 0.6186 0.8814 0.0000
Ni 0.8814 0.3814 0.0000
Ru 0.0000 0.0000 0.0000
Ru 0.5000 0.5000 0.0000

Computed properties:
- E_form: -0.19 eV per atom
- Calculated volume: 14.586 A^3/atom
- Symmetry: No. 127

=====

[24]
Compound: MgZrNiRu
Source: the Alexandria database
Functional: PBE
Structure: optimized geometry

a b c (Å): 4.4845 4.4845 4.4845
angles (deg): 60.00 60.00 60.00
Fractional coordinates of all 4 atoms:
Mg 0.0000 0.0000 0.0000
Zr 0.5000 0.5000 0.5000
Ni 0.7500 0.7500 0.7500
Ru 0.2500 0.2500 0.2500

Computed properties:
- E_form: -0.35 eV per atom
- Calculated volume: 15.943 A^3/atom
- Symmetry: No. 216

=====

[25]
Compound: MgNiS
Source: the Alexandria database
Functional: PBE
Structure: optimized geometry

a b c (Å): 3.8334 3.8334 6.1940
angles (deg): 98.02 98.02 89.35
Fractional coordinates of all 6 atoms:
Mg 0.0000 0.0000 0.0000
Mg 0.6086 0.6086 0.3588
Ni 0.4255 0.9456 0.7154
Ni 0.9456 0.4255 0.7154
S 0.1201 0.1201 0.4004
S 0.5063 0.5063 0.9227

Computed properties:
- Calculated volume: 14.874 A^3/atom
- Formation energy (no corrections): -1.650 eV/f.u.
- Symmetry: No. 8

=====

[26]
Compound: MgNiS
Source: the Alexandria database
Functional: PBE
Structure: optimized geometry

a b c (Å): 5.0605 3.4707 5.2591
angles (deg): 90.00 90.07 90.00
Fractional coordinates of all 6 atoms:
Mg 0.0000 0.0000 0.0000
Mg 0.4815 0.0000 0.6191
Ni 0.2149 0.5000 0.3230
Ni 0.7323 0.5000 0.3004
S 0.4606 0.5000 0.9858
S 0.9751 0.0000 0.5116

Computed properties:
- Calculated volume: 15.395 A^3/atom
- Formation energy (no corrections): -1.575 eV/f.u.
- Symmetry: No. 6

=====

[27]
Compound: MgNiS
Source: the Alexandria database
Functional: PBE
Structure: optimized geometry

a b c (Å): 4.9696 4.9696 5.8396
angles (deg): 106.25 106.25 42.20
Fractional coordinates of all 6 atoms:
Mg 0.1013 0.1013 0.2612
Mg 0.8987 0.8987 0.7388
Ni 0.3688 0.3688 0.0650
Ni 0.6312 0.6312 0.9350
S 0.1753 0.1753 0.7184
S 0.8247 0.8247 0.2816

Computed properties:
- Calculated volume: 15.403 A^3/atom
- Formation energy (no corrections): -1.615 eV/f.u.
- Symmetry: No. 12

=====

| no. | E_tot (Ry per atom) | N(E_F) (states/eV/cell) |
| --- | --- | --- |
| 1 | -0.407 | 5.197 |
| 2 | -0.305 | 8.238 |
| 3 | -0.406 | 4.091 |
| 4 | -0.233 | 4.372 |
| 5 | -0.247 | 4.434 |
| 6 | -0.406 | 5.209 |
| 7 | -0.328 | 6.507 |
| 8 | -0.343 | 8.172 |
| 9 | -0.334 | 4.737 |
| 10 | -0.329 | 4.133 |
| 11 | -0.348 | 6.663 |
| 12 | -0.393 | 3.361 |
| 13 | -0.445 | 2.474 |
| 14 | -0.457 | 14.584 |
| 15 | -0.350 | 5.950 |
| 16 | -0.435 | 1.009 |
| 17 | -0.391 | 7.902 |
| 18 | -0.461 | 3.353 |
| 19 | -0.483 | 3.534 |
| 20 | -0.437 | 2.816 |
| 21 | -0.330 | 4.790 |
| 22 | -0.339 | 4.428 |
| 23 | -0.237 | 11.492 |
| 24 | -0.489 | 1.625 |
| 25 | -0.322 | 0.217 |
| 26 | -0.320 | 2.632 |
| 27 | -0.321 | 3.763 |